# 1
# K2CaOs | the Alexandria database | PBE | optimized geometry
data_K2CaOs
_chemical_formula_sum 'K2 Ca1 Os1'
_cell_length_a 3.0427
_cell_length_b 6.0459
_cell_length_c 6.2773
_cell_angle_alpha 90.00
_cell_angle_beta 90.00
_cell_angle_gamma 90.00
_space_group_name_H-M_alt 'P 1'
_space_group_IT_number 1
loop_
_space_group_symop_operation_xyz
'x,y,z'
loop_
_atom_site_label
_atom_site_fract_x
_atom_site_fract_y
_atom_site_fract_z
Ca1 0.5000 0.5000 0.7500
K1 0.0000 0.0000 0.0253
K2 0.0000 0.0000 0.4747
Os1 0.5000 0.5000 0.2500
# Symmetry: No. 47
# Polymorph energy (0 for the lowest one) (meV/atom): 432
# Formation energy from the elements (eV per atom): 1.20

# 2
# Pm3SiS2 | the Alexandria database | PBE | optimized geometry
data_Pm3SiS2
_chemical_formula_sum 'Pm6 Si2 S4'
_cell_length_a 6.5402
_cell_length_b 7.8513
_cell_length_c 7.8513
_cell_angle_alpha 90.45
_cell_angle_beta 90.00
_cell_angle_gamma 90.00
_space_group_name_H-M_alt 'P 1'
_space_group_IT_number 1
loop_
_space_group_symop_operation_xyz
'x,y,z'
loop_
_atom_site_label
_atom_site_fract_x
_atom_site_fract_y
_atom_site_fract_z
Pm1 0.7500 0.1058 0.8942
Pm2 0.7500 0.2625 0.4286
Pm3 0.2500 0.4286 0.2625
Pm4 0.7500 0.5714 0.7375
Pm5 0.2500 0.7375 0.5714
Pm6 0.2500 0.8942 0.1058
Si1 0.2500 0.3758 0.6242
Si2 0.7500 0.6242 0.3758
S1 0.0000 0.1650 0.1650
S2 0.5000 0.1650 0.1650
S3 0.0000 0.8350 0.8350
S4 0.5000 0.8350 0.8350
# Formation energy without anion corrections (eV per atom): -0.8277
# Symmetry: No. 63
# Polymorph energy (0 for the lowest one) (meV/atom): 814

# 3
# KTi | the Alexandria database | PBE | optimized geometry
data_KTi
_chemical_formula_sum 'K8 Ti8'
_cell_length_a 10.6567
_cell_length_b 10.6567
_cell_length_c 10.6567
_cell_angle_alpha 90.00
_cell_angle_beta 90.00
_cell_angle_gamma 90.00
_space_group_name_H-M_alt 'P 1'
_space_group_IT_number 1
loop_
_space_group_symop_operation_xyz
'x,y,z'
loop_
_atom_site_label
_atom_site_fract_x
_atom_site_fract_y
_atom_site_fract_z
K1 0.2143 0.2143 0.2143
K2 0.2143 0.7857 0.7857
K3 0.7857 0.2143 0.7857
K4 0.7857 0.7857 0.2143
K5 0.7143 0.7143 0.7143
K6 0.7143 0.2857 0.2857
K7 0.2857 0.7143 0.2857
K8 0.2857 0.2857 0.7143
Ti1 0.4173 0.4173 0.4173
Ti2 0.4173 0.5827 0.5827
Ti3 0.5827 0.4173 0.5827
Ti4 0.5827 0.5827 0.4173
Ti5 0.9173 0.9173 0.9173
Ti6 0.9173 0.0827 0.0827
Ti7 0.0827 0.9173 0.0827
Ti8 0.0827 0.0827 0.9173
# Symmetry: No. 217
# Polymorph energy (0 for the lowest one) (meV/atom): 449
# Formation energy from the elements (eV per atom): 1.14

# 4
# CdFeNi2I | the Alexandria database | PBE | optimized geometry
data_CdFeNi2I
_chemical_formula_sum 'Cd1 Fe1 Ni2 I1'
_cell_length_a 4.5230
_cell_length_b 4.5230
_cell_length_c 5.0847
_cell_angle_alpha 90.00
_cell_angle_beta 90.00
_cell_angle_gamma 90.00
_space_group_name_H-M_alt 'P 1'
_space_group_IT_number 1
loop_
_space_group_symop_operation_xyz
'x,y,z'
loop_
_atom_site_label
_atom_site_fract_x
_atom_site_fract_y
_atom_site_fract_z
I1 0.5000 0.5000 0.5000
Ni1 0.0000 0.5000 0.0000
Ni2 0.5000 0.0000 0.0000
Fe1 0.0000 0.0000 0.0000
Cd1 0.0000 0.0000 0.5000
# Formation energy without anion corrections (eV per atom): 0.9165
# Symmetry: No. 123

# 5
# AlZnRu2 | the Alexandria database | PBE | optimized geometry
data_AlZnRu2
_chemical_formula_sum 'Al1 Zn1 Ru2'
_cell_length_a 4.9298
_cell_length_b 4.9298
_cell_length_c 4.4417
_cell_angle_alpha 70.44
_cell_angle_beta 70.44
_cell_angle_gamma 33.61
_space_group_name_H-M_alt 'P 1'
_space_group_IT_number 1
loop_
_space_group_symop_operation_xyz
'x,y,z'
loop_
_atom_site_label
_atom_site_fract_x
_atom_site_fract_y
_atom_site_fract_z
Ru1 0.0057 0.0057 0.0579
Ru2 0.7433 0.7433 0.6914
Zn1 0.4945 0.4945 0.5616
Al1 0.2566 0.2566 0.1891
# Symmetry: No. 8
# Formation energy from the elements (eV per atom): -0.22

# 6
# PmZr2Ir | the Alexandria database | PBE | optimized geometry
data_PmZr2Ir
_chemical_formula_sum 'Pm1 Zr2 Ir1'
_cell_length_a 4.8914
_cell_length_b 4.8914
_cell_length_c 4.8931
_cell_angle_alpha 60.01
_cell_angle_beta 60.01
_cell_angle_gamma 60.00
_space_group_name_H-M_alt 'P 1'
_space_group_IT_number 1
loop_
_space_group_symop_operation_xyz
'x,y,z'
loop_
_atom_site_label
_atom_site_fract_x
_atom_site_fract_y
_atom_site_fract_z
Ir1 0.5000 0.5000 0.5000
Zr1 0.7501 0.7501 0.7498
Zr2 0.2499 0.2499 0.2502
Pm1 0.0000 0.0000 0.0000
# Symmetry: No. 225
# Polymorph energy (0 for the lowest one) (meV/atom): 131
# Formation energy from the elements (eV per atom): -0.18

# 7
# Ac2Sn8Pt | the Alexandria database | PBE | optimized geometry
data_Ac2Sn8Pt
_chemical_formula_sum 'Ac2 Sn8 Pt1'
_cell_length_a 4.9142
_cell_length_b 4.9142
_cell_length_c 12.7757
_cell_angle_alpha 90.00
_cell_angle_beta 90.00
_cell_angle_gamma 90.00
_space_group_name_H-M_alt 'P 1'
_space_group_IT_number 1
loop_
_space_group_symop_operation_xyz
'x,y,z'
loop_
_atom_site_label
_atom_site_fract_x
_atom_site_fract_y
_atom_site_fract_z
Ac1 0.0000 0.0000 0.3112
Ac2 0.0000 0.0000 0.6888
Sn1 0.0000 0.5000 0.5000
Sn2 0.5000 0.0000 0.5000
Sn3 0.5000 0.5000 0.3045
Sn4 0.5000 0.5000 0.6955
Sn5 0.0000 0.5000 0.1200
Sn6 0.5000 0.0000 0.1200
Sn7 0.0000 0.5000 0.8800
Sn8 0.5000 0.0000 0.8800
Pt1 0.0000 0.0000 0.0000
# Symmetry: No. 123
# Formation energy from the elements (eV per atom): -0.44

# 8
# SrHfIn2 | the Alexandria database | PBE | optimized geometry
data_SrHfIn2
_chemical_formula_sum 'Sr1 Hf1 In2'
_cell_length_a 3.3312
_cell_length_b 3.3312
_cell_length_c 9.3719
_cell_angle_alpha 90.00
_cell_angle_beta 90.00
_cell_angle_gamma 90.00
_space_group_name_H-M_alt 'P 1'
_space_group_IT_number 1
loop_
_space_group_symop_operation_xyz
'x,y,z'
loop_
_atom_site_label
_atom_site_fract_x
_atom_site_fract_y
_atom_site_fract_z
Sr1 0.5000 0.5000 0.5000
Hf1 0.5000 0.5000 0.0000
In1 0.0000 0.0000 0.7759
In2 0.0000 0.0000 0.2241
# Symmetry: No. 123
# Polymorph energy (0 for the lowest one) (meV/atom): 0
# Formation energy from the elements (eV per atom): -0.19

Which formula does entry 1 have?
K2CaOs